This record from Alexandria describes Ho4CdPtAu2 after structural relaxation. The functional is GGA-PBE.

```
data_Ho4CdPtAu2
_cell_length_a 5.0650
_cell_length_b 5.0650
_cell_length_c 8.8258
_cell_angle_alpha 73.32
_cell_angle_beta 73.32
_cell_angle_gamma 60.00
_space_group_name_H-M_alt 'P 1'
_space_group_IT_number 1
_space_group_name_Hall 'P 1'
loop_
_atom_site_label
_atom_site_fract_x
_atom_site_fract_y
_atom_site_fract_z
_atom_site_occupancy
Cd1 0.0000 0.0000 0.0000 1
Ho1 0.8691 0.8691 0.3927 1
Ho2 0.1309 0.1309 0.6073 1
Ho3 0.6172 0.6172 0.1484 1
Ho4 0.3828 0.3828 0.8516 1
Au1 0.2609 0.2609 0.2172 1
Au2 0.7391 0.7391 0.7828 1
Pt1 0.5000 0.5000 0.5000 1
```

Calculated values
* calculated density: 12.217 g/cm3
* DFT formation energy: -0.8442 eV/atom
* E: -4.82 eV per atom
* total moment: 0.00 μB per formula unit